Record 1
# CdC2N (PBE, relaxed)
# E above lowest polymorph   1526 meV/atom
data_CdC2N
_chemical_formula_sum 'Cd4 C8 N4'
_symmetry_space_group_name_H-M 'F m -3 m'
_symmetry_Int_Tables_number 225
_symmetry_space_group_name_Hall '-F 4 2 3'
_cell_length_a 5.5942
_cell_length_b 5.5942
_cell_length_c 5.5942
_cell_angle_alpha 90.00
_cell_angle_beta 90.00
_cell_angle_gamma 90.00
loop_
_atom_site_label
_atom_site_fract_x
_atom_site_fract_y
_atom_site_fract_z
_atom_site_occupancy
Cd1 0.0000 0.0000 0.0000 1
C1 0.2500 0.2500 0.2500 1
N1 0.0000 0.0000 0.5000 1

***

Record 2
# Ce5GeSb4 (PBE, relaxed)
# E_tot   -120.5 eV for the cell shown
data_Ce5GeSb4
_chemical_formula_sum 'Ce10 Ge2 Sb8'
_symmetry_space_group_name_H-M 'I 4/m m m'
_symmetry_Int_Tables_number 139
_symmetry_space_group_name_Hall '-I 4 2'
_cell_length_a 4.4539
_cell_length_b 4.4539
_cell_length_c 31.4237
_cell_angle_alpha 90.00
_cell_angle_beta 90.00
_cell_angle_gamma 90.00
loop_
_atom_site_label
_atom_site_fract_x
_atom_site_fract_y
_atom_site_fract_z
_atom_site_occupancy
Ce1 0.0000 0.0000 0.0000 1
Ce2 0.0000 0.0000 0.2002 1
Ce3 0.0000 0.0000 0.4041 1
Ge1 0.0000 0.0000 0.5000 1
Sb1 0.0000 0.0000 0.1000 1
Sb2 0.0000 0.0000 0.3018 1

***

Record 3
# SrBePb3 (PBE, relaxed)
# ΔE_f   0.0497 eV per atom
# E above lowest polymorph   0 meV/atom
data_SrBePb3
_chemical_formula_sum 'Sr1 Be1 Pb3'
_symmetry_space_group_name_H-M 'P m -3 m'
_symmetry_Int_Tables_number 221
_symmetry_space_group_name_Hall '-P 4 2 3'
_cell_length_a 5.2804
_cell_length_b 5.2804
_cell_length_c 5.2804
_cell_angle_alpha 90.00
_cell_angle_beta 90.00
_cell_angle_gamma 90.00
loop_
_atom_site_label
_atom_site_fract_x
_atom_site_fract_y
_atom_site_fract_z
_atom_site_occupancy
Sr1 0.0000 0.0000 0.0000 1
Be1 0.5000 0.5000 0.5000 1
Pb1 0.0000 0.5000 0.5000 1

***

Record 4
# SnBiSbI2 (PBE, relaxed)
# E above lowest polymorph   0 meV/atom
data_SnBiSbI2
_chemical_formula_sum 'Sn1 Bi1 Sb1 I2'
_symmetry_space_group_name_H-M 'P 4/m m m'
_symmetry_Int_Tables_number 123
_symmetry_space_group_name_Hall '-P 4 2'
_cell_length_a 5.8373
_cell_length_b 5.8373
_cell_length_c 6.0623
_cell_angle_alpha 90.00
_cell_angle_beta 90.00
_cell_angle_gamma 90.00
loop_
_atom_site_label
_atom_site_fract_x
_atom_site_fract_y
_atom_site_fract_z
_atom_site_occupancy
Sn1 0.0000 0.0000 0.0000 1
Bi1 0.5000 0.5000 0.5000 1
Sb1 0.0000 0.0000 0.5000 1
I1 0.0000 0.5000 0.0000 1